[1]
# Ta2MnFeN GGA-PBEsol optimized geometry
# Spin magnetization   1.75 μB per cell
# Energy relative to the elements, uncorrected   0.818 eV per atom
# DOS at the Fermi energy   3.95 states/eV/f.u.
data_Ta2MnFeN
_chemical_formula_sum 'Ta2 Mn1 Fe1 N1'
_cell_length_a 4.702
_cell_length_b 4.702
_cell_length_c 3.325
_cell_angle_alpha 90.00
_cell_angle_beta 90.00
_cell_angle_gamma 90.00
_symmetry_space_group_name_H-M 'P 4/m m m'
_symmetry_Int_Tables_number 123
_symmetry_space_group_name_Hall '-P 4 2'
loop_
_atom_site_label
_atom_site_type_symbol
_atom_site_fract_x
_atom_site_fract_y
_atom_site_fract_z
Ta1 Ta 0.000 0.500 0.000
Mn1 Mn 0.000 0.000 0.500
Fe1 Fe 0.500 0.500 0.000
N1 N 0.500 0.500 0.500

=====

[2]
# Tl2Hg GGA-PBEsol optimized geometry
# Spin magnetization   0.00 μB per cell
# Calculated formation energy   -0.011 eV/atom
# DOS at the Fermi energy   1.35 states/eV/f.u.
data_Tl2Hg
_chemical_formula_sum 'Tl8 Hg4'
_cell_length_a 6.613
_cell_length_b 5.246
_cell_length_c 9.295
_cell_angle_alpha 90.00
_cell_angle_beta 90.00
_cell_angle_gamma 90.00
_symmetry_space_group_name_H-M 'P n m a'
_symmetry_Int_Tables_number 62
_symmetry_space_group_name_Hall '-P 2ac 2n'
loop_
_atom_site_label
_atom_site_type_symbol
_atom_site_fract_x
_atom_site_fract_y
_atom_site_fract_z
Tl1 Tl 0.015 0.250 0.225
Tl2 Tl 0.191 0.250 0.578
Hg1 Hg 0.212 0.250 0.911

=====

[3]
# NbTl3Ge GGA-PBEsol optimized geometry
# Spin magnetization   0.00 μB per cell
# Calculated formation energy   0.930 eV/atom
# DOS at the Fermi energy   3.70 states/eV/f.u.
data_NbTl3Ge
_chemical_formula_sum 'Nb1 Tl3 Ge1'
_cell_length_a 5.385
_cell_length_b 5.385
_cell_length_c 5.385
_cell_angle_alpha 90.00
_cell_angle_beta 90.00
_cell_angle_gamma 90.00
_symmetry_space_group_name_H-M 'P m -3 m'
_symmetry_Int_Tables_number 221
_symmetry_space_group_name_Hall '-P 4 2 3'
loop_
_atom_site_label
_atom_site_type_symbol
_atom_site_fract_x
_atom_site_fract_y
_atom_site_fract_z
Nb1 Nb 0.000 0.000 0.000
Tl1 Tl 0.000 0.000 0.500
Ge1 Ge 0.500 0.500 0.500

=====

[4]
# BeTcMo2 GGA-PBEsol optimized geometry
# Spin magnetization   0.00 μB per cell
# Calculated formation energy   0.213 eV/atom
# DOS at the Fermi energy   3.07 states/eV/f.u.
data_BeTcMo2
_chemical_formula_sum 'Be2 Tc2 Mo4'
_cell_length_a 5.199
_cell_length_b 7.819
_cell_length_c 2.689
_cell_angle_alpha 90.00
_cell_angle_beta 90.00
_cell_angle_gamma 90.00
_symmetry_space_group_name_H-M 'C m m m'
_symmetry_Int_Tables_number 65
_symmetry_space_group_name_Hall '-C 2 2'
loop_
_atom_site_label
_atom_site_type_symbol
_atom_site_fract_x
_atom_site_fract_y
_atom_site_fract_z
Be1 Be 0.000 0.000 0.000
Tc1 Tc 0.000 0.500 0.000
Mo1 Mo 0.250 0.250 0.500

=====

[5]
# Sc2Be17 GGA-PBEsol optimized geometry
# Spin magnetization   0.00 μB per cell
# Calculated formation energy   -0.174 eV/atom
# DOS at the Fermi energy   5.38 states/eV/f.u.
data_Sc2Be17
_chemical_formula_sum 'Sc4 Be34'
_cell_length_a 7.4802
_cell_length_b 7.4802
_cell_length_c 7.2968
_cell_angle_alpha 90.00
_cell_angle_beta 90.00
_cell_angle_gamma 120.00
_symmetry_space_group_name_H-M 'P 63/m m c'
_symmetry_Int_Tables_number 194
_symmetry_space_group_name_Hall '-P 6c 2c'
loop_
_atom_site_label
_atom_site_type_symbol
_atom_site_fract_x
_atom_site_fract_y
_atom_site_fract_z
Sc1 Sc 0.0000 0.0000 0.2500
Sc2 Sc 0.3333 0.6667 0.2500
Be1 Be 0.0000 0.5000 0.0000
Be2 Be 0.0463 0.3783 0.7500
Be3 Be 0.1662 0.3323 0.0124
Be4 Be 0.3333 0.6667 0.6055

=====

[6]
# Hg2MoAu GGA-PBEsol optimized geometry
# Spin magnetization   8.86 μB per cell
# Calculated formation energy   0.559 eV/atom
# DOS at the Fermi energy   1.63 states/eV/f.u.
data_Hg2MoAu
_chemical_formula_sum 'Hg8 Mo4 Au4'
_cell_length_a 6.648
_cell_length_b 6.648
_cell_length_c 6.648
_cell_angle_alpha 90.00
_cell_angle_beta 90.00
_cell_angle_gamma 90.00
_symmetry_space_group_name_H-M 'F -4 3 m'
_symmetry_Int_Tables_number 216
_symmetry_space_group_name_Hall 'F -4 2 3'
loop_
_atom_site_label
_atom_site_type_symbol
_atom_site_fract_x
_atom_site_fract_y
_atom_site_fract_z
Hg1 Hg 0.000 0.000 0.000
Hg2 Hg 0.250 0.250 0.250
Mo1 Mo 0.000 0.000 0.500
Au1 Au 0.250 0.250 0.750